[1]
! PBE AcTmGa, relaxed; values from VASP
! Density of states at the Fermi level (states/eV per atom): 1.348
! Energy relative to the lowest polymorph listed for this composition (eV/f.u.): 0.076
! Energy of formation (meV/atom): -350
&SYSTEM
  ibrav = 0, nat = 12, ntyp = 3
/
ATOMIC_SPECIES
Tm 168.93 Tm.upf
Ac 227.00 Ac.upf
Ga 69.72 Ga.upf
ATOMIC_POSITIONS crystal
Tm 0.5001 0.7449 0.0015
Ac 0.2454 0.6046 0.4183
Ga 0.7586 0.5471 0.1880
Tm 0.4999 0.2551 0.9985
Ac 0.2546 0.1045 0.4183
Tm 0.9999 0.2449 0.0015
Ac 0.7454 0.8955 0.5817
Ga 0.2414 0.4529 0.8120
Ga 0.2586 0.9529 0.8120
Ac 0.7546 0.3955 0.5817
Ga 0.7414 0.0471 0.1880
Tm 0.0001 0.7551 0.9985
CELL_PARAMETERS angstrom
6.7714 0.0000 0.0000
0.0000 8.7411 1.0400
0.0000 -2.9296 5.9133

=====

[2]
! PBE MgHg7, relaxed; values from VASP
! Density of states at the Fermi level (states/eV per atom): 0.241
! Energy relative to the lowest polymorph listed for this composition (eV/f.u.): 0.000
! Energy of formation (meV/atom): -15
&SYSTEM
  ibrav = 0, nat = 8, ntyp = 2
/
ATOMIC_SPECIES
Hg 200.59 Hg.upf
Mg 24.30 Mg.upf
ATOMIC_POSITIONS crystal
Hg 0.1233 0.1232 0.6295
Mg 0.0000 0.0000 0.0000
Hg 0.8767 0.8768 0.3705
Hg 0.5000 0.5000 0.5000
Hg 0.6222 0.6222 0.1180
Hg 0.2599 0.2599 0.2466
Hg 0.3778 0.3778 0.8820
Hg 0.7401 0.7401 0.7534
CELL_PARAMETERS angstrom
6.1005 1.5359 3.0917
4.1423 4.7343 3.0912
2.5297 1.5477 10.4363

=====

[3]
! PBE Sr2CdF8, relaxed; values from VASP
! Density of states at the Fermi level (states/eV per atom): 0.862
! Raw formation energy (meV/atom): -2655
&SYSTEM
  ibrav = 0, nat = 11, ntyp = 3
/
ATOMIC_SPECIES
Cd 112.41 Cd.upf
F 19.00 F.upf
Sr 87.62 Sr.upf
ATOMIC_POSITIONS crystal
Cd 0.5000 0.0000 0.0000
F 0.2135 0.2135 0.4271
Sr 0.8292 0.3292 0.6585
F 0.3682 0.6168 0.7363
F 0.7865 0.7865 0.5729
F 0.6318 0.8804 0.2637
F 0.6318 0.3832 0.2637
F 0.0000 0.7558 0.0000
F 0.0000 0.2442 0.0000
Sr 0.1708 0.6708 0.3415
F 0.3682 0.1196 0.7363
CELL_PARAMETERS angstrom
4.1532 0.0000 -1.2640
-0.8091 4.6809 -2.6585
-0.0613 0.9439 7.2539

=====

[4]
! PBE LuPbAu, relaxed; values from VASP
! Density of states at the Fermi level (states/eV per atom): 0.533
! Energy of formation (meV/atom): -439
&SYSTEM
  ibrav = 0, nat = 3, ntyp = 3
/
ATOMIC_SPECIES
Lu 174.97 Lu.upf
Pb 207.20 Pb.upf
Au 196.97 Au.upf
ATOMIC_POSITIONS crystal
Lu 0.6973 0.6667 0.3333
Pb 0.2580 0.3333 0.6667
Au 0.0447 0.0000 0.0000
CELL_PARAMETERS angstrom
-3.2327 1.6127 0.2991
-2.0494 -3.6810 -2.3025
0.4006 -0.0842 4.7838

=====

[5]
! PBE Ba2BiPPd, relaxed; values from VASP
! Density of states at the Fermi level (states/eV per atom): 0.924
! Energy relative to the lowest polymorph listed for this composition (eV/f.u.): 4.611
! Energy of formation (meV/atom): 222
&SYSTEM
  ibrav = 0, nat = 5, ntyp = 4
/
ATOMIC_SPECIES
Pd 106.42 Pd.upf
Bi 208.98 Bi.upf
Ba 137.33 Ba.upf
P 30.97 P.upf
ATOMIC_POSITIONS crystal
Pd 0.5000 0.5000 0.5000
Bi 0.0000 0.0000 0.0000
Ba 0.0000 0.0000 0.5000
Ba 0.5000 0.0000 0.0000
P 0.0000 0.5000 0.0000
CELL_PARAMETERS angstrom
-4.7624 2.4782 -3.9305
-3.4225 -0.5448 3.8034
1.4157 6.1346 2.1526

=====

[6]
! PBE Cr3PPd, relaxed; values from VASP
! Density of states at the Fermi level (states/eV per atom): 1.074
! Energy relative to the lowest polymorph listed for this composition (eV/f.u.): 4.232
! Energy of formation (meV/atom): 1358
&SYSTEM
  ibrav = 0, nat = 5, ntyp = 3
/
ATOMIC_SPECIES
P 30.97 P.upf
Pd 106.42 Pd.upf
Cr 52.00 Cr.upf
ATOMIC_POSITIONS crystal
P 0.5000 0.5000 0.5000
Pd 0.0000 0.0000 0.0000
Cr 0.0000 0.5000 0.0000
Cr 0.0000 0.0000 0.5000
Cr 0.5000 0.0000 0.0000
CELL_PARAMETERS angstrom
4.8036 0.0000 0.0000
0.0000 4.8036 0.0000
0.0000 0.0000 4.8036

=====

[7]
! PBE CaHf3Hg, relaxed; values from VASP
! Density of states at the Fermi level (states/eV per atom): 1.214
! Energy relative to the lowest polymorph listed for this composition (eV/f.u.): 0.000
! Energy of formation (meV/atom): 966
&SYSTEM
  ibrav = 0, nat = 5, ntyp = 3
/
ATOMIC_SPECIES
Hf 178.49 Hf.upf
Hg 200.59 Hg.upf
Ca 40.08 Ca.upf
ATOMIC_POSITIONS crystal
Hf 0.5000 0.0000 0.0000
Hg 0.0000 0.0000 0.0000
Hf 0.0000 0.0000 0.5000
Hf 0.0000 0.5000 0.0000
Ca 0.5000 0.5000 0.5000
CELL_PARAMETERS angstrom
-0.7818 5.2436 -0.4511
-5.1632 -0.8525 -0.9616
-1.0199 0.2965 5.2136

=====

[8]
! PBE TaVCuSe2, relaxed; values from VASP
! Density of states at the Fermi level (states/eV per atom): 1.654
! Raw formation energy (meV/atom): 929
&SYSTEM
  ibrav = 0, nat = 5, ntyp = 4
/
ATOMIC_SPECIES
Se 78.96 Se.upf
Cu 63.55 Cu.upf
Ta 180.95 Ta.upf
V 50.94 V.upf
ATOMIC_POSITIONS crystal
Se 0.0000 0.0000 0.5000
Cu 0.5000 0.5000 0.5000
Se 0.5000 0.0000 0.0000
Ta 0.0000 0.0000 0.0000
V 0.0000 0.5000 0.0000
CELL_PARAMETERS angstrom
-3.3240 3.6889 0.2650
-2.9975 -2.5035 -2.7483
-1.9840 -2.0793 4.0580

=====

[9]
! PBE Pr3Er2Hg4, relaxed; values from VASP
! Density of states at the Fermi level (states/eV per atom): 0.911
! Energy of formation (meV/atom): -255
&SYSTEM
  ibrav = 0, nat = 18, ntyp = 3
/
ATOMIC_SPECIES
Pr 140.91 Pr.upf
Hg 200.59 Hg.upf
Er 167.26 Er.upf
ATOMIC_POSITIONS crystal
Pr 0.0098 0.7500 0.5196
Hg 0.1738 0.7500 0.8476
Er 0.0923 0.5845 0.1846
Hg 0.6565 0.5424 0.3130
Hg 0.1565 0.9576 0.3130
Er 0.4077 0.0845 0.8154
Er 0.9077 0.4155 0.8154
Hg 0.3262 0.2500 0.1524
Pr 0.0000 0.0000 0.0000
Pr 0.5000 0.5000 0.0000
Hg 0.6738 0.7500 0.8476
Pr 0.9902 0.2500 0.4804
Pr 0.4902 0.2500 0.4804
Er 0.5923 0.9155 0.1846
Hg 0.8262 0.2500 0.1524
Hg 0.8435 0.0424 0.6870
Hg 0.3435 0.4576 0.6870
Pr 0.5098 0.7500 0.5196
CELL_PARAMETERS angstrom
-0.2791 -0.9013 -6.8265
7.9555 0.2622 -0.3599
0.5171 -9.2642 4.6805

=====

[10]
! PBE CsKCdBi, relaxed; values from VASP
! Density of states at the Fermi level (states/eV per atom): 0.709
! Energy relative to the lowest polymorph listed for this composition (eV/f.u.): 0.247
! Energy of formation (meV/atom): -169
&SYSTEM
  ibrav = 0, nat = 4, ntyp = 4
/
ATOMIC_SPECIES
Cs 132.91 Cs.upf
K 39.10 K.upf
Cd 112.41 Cd.upf
Bi 208.98 Bi.upf
ATOMIC_POSITIONS crystal
Cs 0.7500 0.7500 0.7500
K 0.5000 0.5000 0.5000
Cd 0.0000 0.0000 0.0000
Bi 0.2500 0.2500 0.2500
CELL_PARAMETERS angstrom
-4.6158 -0.3357 -3.9034
-3.6431 -4.8355 0.0286
-5.6937 0.5113 1.9937

=====

[11]
! PBE Sr2TiAg, relaxed; values from VASP
! Density of states at the Fermi level (states/eV per atom): 1.954
! Energy relative to the lowest polymorph listed for this composition (eV/f.u.): 0.000
! Energy of formation (meV/atom): 538
&SYSTEM
  ibrav = 0, nat = 4, ntyp = 3
/
ATOMIC_SPECIES
Ag 107.87 Ag.upf
Sr 87.62 Sr.upf
Ti 47.87 Ti.upf
ATOMIC_POSITIONS crystal
Ag 0.5000 0.5000 0.5000
Sr 0.2500 0.2500 0.2500
Sr 0.7500 0.7500 0.7500
Ti 0.0000 0.0000 0.0000
CELL_PARAMETERS angstrom
0.0000 3.9656 3.9656
3.9656 0.0000 3.9656
3.9656 3.9656 0.0000

=====

[12]
! PBE Pa5AlGe5, relaxed; values from VASP
! Density of states at the Fermi level (states/eV per atom): 1.200
! Energy of formation (meV/atom): -104
&SYSTEM
  ibrav = 0, nat = 11, ntyp = 3
/
ATOMIC_SPECIES
Pa 231.04 Pa.upf
Al 26.98 Al.upf
Ge 72.64 Ge.upf
ATOMIC_POSITIONS crystal
Pa 0.6730 0.3460 0.3512
Pa 0.3270 0.6540 0.6488
Pa 0.3831 0.7663 0.2874
Al 0.0000 0.0000 0.0000
Pa 0.6169 0.2337 0.7126
Ge 0.5000 0.0000 0.0000
Ge 0.8236 0.6472 0.1041
Ge 0.1642 0.3284 0.2819
Ge 0.8358 0.6716 0.7181
Ge 0.1764 0.3528 0.8959
Pa 0.0000 0.0000 0.5000
CELL_PARAMETERS angstrom
-0.3634 1.6280 5.5674
4.9173 -5.2559 -1.1757
3.2958 5.7420 -1.4639

=====

Here are the calculated energy numbers, same order: -4.219; -0.479; -4.405; -4.275; -3.444; -6.536; -5.467; -5.479; -2.997; -1.855; -2.989; -6.859 (eV/atom).